No. 1
# SrAc3

Crystalline SrAc3 at its relaxed geometry (PBE-GGA, Alexandria). Values from VASP.

Cell and atoms, written as Quantum ESPRESSO input:
```
&SYSTEM
  ibrav = 0, nat = 4, ntyp = 2
/
ATOMIC_SPECIES
Sr 87.62 Sr.upf
Ac 227.00 Ac.upf
CELL_PARAMETERS angstrom
4.044 0.000 0.000
0.000 6.522 0.000
0.000 0.000 7.074
ATOMIC_POSITIONS angstrom
Sr 0.000 3.261 2.329
Ac 0.000 0.000 7.035
Ac 2.022 0.000 3.621
Ac 2.022 3.261 5.879
```

Computed properties:
size of the total moment	0.0	μB per formula unit
electronic total energy	-3.44	eV/atom
N(E_F)	1.53	states/eV per atom

***

No. 2
# SrAc2

Crystalline SrAc2 at its relaxed geometry (PBE-GGA, Alexandria). Values from VASP.

Cell and atoms, written as Quantum ESPRESSO input:
```
&SYSTEM
  ibrav = 0, nat = 3, ntyp = 2
/
ATOMIC_SPECIES
Sr 87.62 Sr.upf
Ac 227.00 Ac.upf
CELL_PARAMETERS angstrom
4.071 0.000 0.000
0.000 4.071 0.000
-2.035 -2.035 8.648
ATOMIC_POSITIONS angstrom
Sr 0.000 0.000 0.000
Ac 2.035 2.035 3.028
Ac 0.000 0.000 5.620
```

Computed properties:
size of the total moment	0.0	μB per formula unit
electronic total energy	-3.27	eV/atom
N(E_F)	1.30	states/eV per atom

***

No. 3
# SrAc2

Crystalline SrAc2 at its relaxed geometry (PBE-GGA, Alexandria). Values from VASP.

Cell and atoms, written as Quantum ESPRESSO input:
```
&SYSTEM
  ibrav = 0, nat = 6, ntyp = 2
/
ATOMIC_SPECIES
Sr 87.62 Sr.upf
Ac 227.00 Ac.upf
CELL_PARAMETERS angstrom
-0.173 4.764 -5.862
2.509 -2.241 -6.765
-4.883 -1.140 -5.652
ATOMIC_POSITIONS angstrom
Sr 0.000 0.000 0.000
Sr -0.637 0.346 -4.570
Ac -1.505 -1.518 -8.494
Ac -2.846 1.985 -8.042
Ac -1.592 0.864 -11.425
Ac 0.850 1.434 -8.599
```

Computed properties:
size of the total moment	0.0	μB per formula unit
electronic total energy	-3.14	eV/atom
N(E_F)	1.67	states/eV per atom

***

No. 4
# SrAc3

Crystalline SrAc3 at its relaxed geometry (PBE-GGA, Alexandria). Values from VASP.

Cell and atoms, written as Quantum ESPRESSO input:
```
&SYSTEM
  ibrav = 0, nat = 4, ntyp = 2
/
ATOMIC_SPECIES
Sr 87.62 Sr.upf
Ac 227.00 Ac.upf
CELL_PARAMETERS angstrom
-5.517 -0.018 1.446
1.063 -3.920 4.005
0.981 4.143 3.795
ATOMIC_POSITIONS angstrom
Sr 0.000 0.000 0.000
Ac 1.022 0.112 3.900
Ac -2.268 2.062 2.621
Ac -2.227 -1.969 2.725
```

Computed properties:
size of the total moment	0.0	μB per formula unit
electronic total energy	-3.43	eV/atom
N(E_F)	1.95	states/eV per atom